## Ta2BeFeNi (PBE)

Data for an optimized crystal structure of Ta2BeFeNi.

Lattice parameters (Å, degrees): 4.359 3.746 4.359 90.00 90.00 90.00
Fractional coordinates of all 5 atoms:
Ni1 0.500 0.500 0.500
Be1 0.000 0.000 0.000
Fe1 0.000 0.500 0.000
Ta1 0.000 0.000 0.500
Ta2 0.500 0.000 0.000

Computed properties:
total DFT energy (no corrections): -7.7575 eV per atom
magnetization: 0.00 μB per cell